Entry 1:
The following is a PBE calculation of crystalline TmNiPb2 at its relaxed geometry, from Alexandria via LeMat-Bulk.

Cell: 3.4756 3.4756 10.2368 Å, 80.23 80.23 60.00°
Last column: nearest neighbours and their distance in Å.
Sites, in units of the cell vectors:
Ni  0.5000  0.5000  0.5000  6 Pb 2.74
Tm  0.0000  0.0000  0.0000  2 Pb 3.15, 6 Tm 3.48
Pb  0.1047  0.1047  0.6859  3 Ni 2.74
Pb  0.8953  0.8953  0.3141  3 Ni 2.74

Properties
Uncorrected energy in eV/cell: -16.88
Density in Mg/m³: 10.152
D(E_F) in states/eV/cell: 2.84


Entry 2:
The following is a PBE calculation of crystalline LiAc2As4Au3 at its relaxed geometry, from Alexandria via LeMat-Bulk.

Cell: 4.6375 4.6375 10.6271 Å, 90.00 90.00 90.00°
Last column: nearest neighbours and their distance in Å.
Sites, in units of the cell vectors:
As  0.5000  0.5000  0.0000  4 Au 2.70
As  0.0000  0.5000  0.3693  3 Au 2.55-2.70, 2 Li 2.70
As  0.0000  0.0000  0.0000  4 Au 2.70
As  0.5000  0.0000  0.6307  3 Au 2.55-2.70, 2 Li 2.70
Au  0.0000  0.0000  0.5000  4 As 2.70
Au  0.5000  0.0000  0.8703  5 As 2.55-2.70
Au  0.0000  0.5000  0.1297  5 As 2.55-2.70
Ac  0.0000  0.5000  0.7602  8 As 3.45-3.56, 6 Au 3.48-3.61, 2 Li 3.61
Ac  0.5000  0.0000  0.2398  8 As 3.45-3.56, 6 Au 3.48-3.61, 2 Li 3.61
Li  0.5000  0.5000  0.5000  4 As 2.70

Properties
Uncorrected energy in eV/cell: -45.60
Density in Mg/m³: 9.820
D(E_F) in states/eV/cell: 1.83


Entry 3:
The following is a PBE calculation of crystalline SrCrNi at its relaxed geometry, from Alexandria via LeMat-Bulk.

Cell: 4.6780 4.6780 4.6780 Å, 60.00 60.00 60.00°
Last column: nearest neighbours and their distance in Å.
Sites, in units of the cell vectors:
Ni  0.5000  0.5000  0.5000  4 Cr 2.86, 4 Sr 2.86
Cr  0.2500  0.2500  0.2500  4 Ni 2.86
Sr  0.7500  0.7500  0.7500  4 Ni 2.86

Properties
E above lowest polymorph in meV/atom: 370
Uncorrected energy in eV/cell: -15.01
Density in Mg/m³: 4.549
D(E_F) in states/eV/cell: 1.94


Entry 4:
The following is a PBE calculation of crystalline Zr2AgW at its relaxed geometry, from Alexandria via LeMat-Bulk.

Cell: 2.8581 2.8581 9.8546 Å, 90.00 90.00 104.66°
Last column: nearest neighbours and their distance in Å.
Sites, in units of the cell vectors:
Zr  0.5000  0.5000  0.2633  4 Zr 2.86, 2 Ag 3.02
Zr  0.0000  0.0000  0.9781  4 Zr 2.86, 2 W 2.89
W  0.5000  0.5000  0.7447  4 W 2.86, 2 Ag 2.87, 2 Zr 2.89
Ag  0.0000  0.0000  0.5139  4 Ag 2.86, 2 W 2.87, 2 Zr 3.02

Properties
E above lowest polymorph in meV/atom: 277
Uncorrected energy in eV/cell: -31.79
Density in Mg/m³: 10.110
D(E_F) in states/eV/cell: 4.89


Entry 5:
The following is a PBE calculation of crystalline Tm6Ga3H at its relaxed geometry, from Alexandria via LeMat-Bulk.

Cell: 6.0321 8.7908 8.7908 Å, 99.21 90.00 90.00°
Last column: nearest neighbours and their distance in Å.
Sites, in units of the cell vectors:
Ga  0.5144  0.2322  0.9912  1 Ga 2.55
Ga  0.0144  0.9912  0.2322  1 Ga 2.55
Ga  0.5144  0.0088  0.7678  1 Ga 2.55
Ga  0.4133  0.4843  0.5157  6 Tm 3.03-3.08, 2 Ga 3.05
Ga  0.9133  0.5157  0.4843  6 Tm 3.03-3.08, 2 Ga 3.05
Ga  0.0144  0.7678  0.0088  1 Ga 2.55
Tm  0.7150  0.3037  0.6963  1 H 2.17
Tm  0.7080  0.8771  0.4666  1 H 2.23
Tm  0.0006  0.0873  0.9127  1 H 2.24
Tm  0.6774  0.2299  0.3210  4 Ga 2.94-3.06, 3 Tm 3.25-3.27
Tm  0.7080  0.5334  0.1229  1 H 2.23
Tm  0.1774  0.7701  0.6790  4 Ga 2.94-3.06, 3 Tm 3.25-3.27
Tm  0.2080  0.4666  0.8771  1 H 2.23
Tm  0.6774  0.6790  0.7701  4 Ga 2.94-3.06, 3 Tm 3.25-3.27
Tm  0.2150  0.6963  0.3037  1 H 2.17
Tm  0.1774  0.3210  0.2299  4 Ga 2.94-3.06, 3 Tm 3.25-3.27
Tm  0.5006  0.9127  0.0873  1 H 2.24
Tm  0.2080  0.1229  0.5334  1 H 2.23
H  0.5570  0.7474  0.2526  4 Tm 2.17-2.24
H  0.0570  0.2526  0.7474  4 Tm 2.17-2.24

Properties
Uncorrected energy in eV/cell: -86.39
Density in Mg/m³: 8.833
D(E_F) in states/eV/cell: 21.93


Entry 6:
The following is a PBE calculation of crystalline Ca3PmHo2Se6 at its relaxed geometry, from Alexandria via LeMat-Bulk.

Cell: 7.1398 7.1398 7.2546 Å, 99.48 99.48 119.93°
Last column: nearest neighbours and their distance in Å.
Sites, in units of the cell vectors:
Se  0.5763  0.9174  0.7524  2 Ho 2.89-2.90, 3 Ca 2.92-2.97, 1 Pm 2.97
Se  0.7410  0.7410  0.2466  2 Ho 2.90, 3 Ca 2.90-2.95, 1 Pm 2.97
Se  0.9174  0.5763  0.7524  2 Ho 2.89-2.90, 3 Ca 2.92-2.97, 1 Pm 2.97
Se  0.2590  0.2590  0.7534  2 Ho 2.90, 3 Ca 2.90-2.95, 1 Pm 2.97
Se  0.4237  0.0826  0.2476  2 Ho 2.89-2.90, 3 Ca 2.92-2.97, 1 Pm 2.97
Se  0.0826  0.4237  0.2476  2 Ho 2.89-2.90, 3 Ca 2.92-2.97, 1 Pm 2.97
Ho  0.6673  0.3327  0.0000  6 Se 2.89-2.90
Ho  0.3327  0.6673  0.0000  6 Se 2.89-2.90
Ca  0.8356  0.1644  0.5000  6 Se 2.92-2.97
Ca  0.5000  0.5000  0.5000  6 Se 2.90-2.96
Ca  0.1644  0.8356  0.5000  6 Se 2.92-2.97
Pm  0.0000  0.0000  0.0000  6 Se 2.97

Properties
Uncorrected energy in eV/cell: -63.33
Density in Mg/m³: 5.865
D(E_F) in states/eV/cell: 4.44
Uncorrected formation energy in eV per atom: -1.876